Entry 1:
Compound: Ta4SnAuC2
Source: OQMD via LeMat-Bulk
Functional: PBE-GGA
Structure: relaxed

Unit cell a=3.202 b=3.202 c=13.897 alpha=90.00 beta=90.00 gamma=120.00
Atoms (fractional coordinates):
Ta 0.000 0.000 0.161
Ta 0.000 0.000 0.839
Ta 0.667 0.333 0.330
Ta 0.667 0.333 0.670
Sn 0.000 0.000 0.500
Au 0.667 0.333 0.000
C 0.333 0.667 0.245
C 0.333 0.667 0.755

Results
total DFT energy (no corrections)	-9.532	eV/atom


Entry 2:
Compound: Ta3AuC2
Source: OQMD via LeMat-Bulk
Functional: PBE-GGA
Structure: relaxed

Unit cell a=3.202 b=3.202 c=18.701 alpha=90.00 beta=90.00 gamma=120.00
Atoms (fractional coordinates):
Ta 0.000 0.000 0.000
Ta 0.000 0.000 0.500
Ta 0.333 0.667 0.130
Ta 0.333 0.667 0.370
Ta 0.667 0.333 0.630
Ta 0.667 0.333 0.870
Au 0.000 0.000 0.250
Au 0.000 0.000 0.750
C 0.333 0.667 0.571
C 0.333 0.667 0.929
C 0.667 0.333 0.071
C 0.667 0.333 0.429

Results
total DFT energy (no corrections)	-10.014	eV/atom


Entry 3:
Compound: Ta2AuC
Source: OQMD via LeMat-Bulk
Functional: PBE-GGA
Structure: relaxed

Unit cell a=5.458 b=5.458 c=14.298 alpha=101.00 beta=101.00 gamma=59.98
Atoms (fractional coordinates):
Ta 0.029 0.862 0.586
Ta 0.138 0.971 0.914
Ta 0.195 0.362 0.086
Ta 0.305 0.472 0.414
Ta 0.362 0.195 0.586
Ta 0.472 0.305 0.914
Ta 0.528 0.695 0.086
Ta 0.638 0.805 0.414
Ta 0.695 0.528 0.586
Ta 0.805 0.638 0.914
Ta 0.862 0.029 0.086
Ta 0.971 0.138 0.414
Au 0.084 0.250 0.750
Au 0.250 0.084 0.250
Au 0.418 0.582 0.750
Au 0.582 0.418 0.250
Au 0.750 0.916 0.750
Au 0.916 0.750 0.250
C 0.000 0.500 0.500
C 0.167 0.667 0.000
C 0.333 0.833 0.500
C 0.500 0.000 0.000
C 0.667 0.167 0.500
C 0.833 0.333 0.000

Results
total DFT energy (no corrections)	-9.490	eV/atom


Entry 4:
Compound: Ta2AuC
Source: OQMD via LeMat-Bulk
Functional: PBE-GGA
Structure: relaxed

Unit cell a=3.155 b=3.155 c=13.902 alpha=90.00 beta=90.00 gamma=120.00
Atoms (fractional coordinates):
Ta 0.333 0.667 0.086
Ta 0.333 0.667 0.414
Ta 0.667 0.333 0.586
Ta 0.667 0.333 0.914
Au 0.333 0.667 0.750
Au 0.667 0.333 0.250
C 0.000 0.000 0.000
C 0.000 0.000 0.500

Results
total DFT energy (no corrections)	-9.490	eV/atom


Entry 5:
Compound: Ta4ZnAuC2
Source: OQMD via LeMat-Bulk
Functional: PBE-GGA
Structure: relaxed

Unit cell a=3.136 b=3.136 c=13.837 alpha=90.00 beta=90.00 gamma=120.00
Atoms (fractional coordinates):
Ta 0.000 0.000 0.160
Ta 0.000 0.000 0.840
Ta 0.667 0.333 0.335
Ta 0.667 0.333 0.665
Zn 0.667 0.333 0.000
Au 0.000 0.000 0.500
C 0.333 0.667 0.248
C 0.333 0.667 0.752

Results
total DFT energy (no corrections)	-9.216	eV/atom


Entry 6:
Compound: Zr2Ta4Au3C3
Source: OQMD via LeMat-Bulk
Functional: PBE-GGA
Structure: relaxed

Unit cell a=5.597 b=5.597 c=14.260 alpha=101.55 beta=101.55 gamma=59.88
Atoms (fractional coordinates):
Zr 0.036 0.874 0.604
Zr 0.126 0.964 0.896
Zr 0.874 0.036 0.104
Zr 0.964 0.126 0.396
Ta 0.194 0.353 0.081
Ta 0.298 0.481 0.419
Ta 0.353 0.194 0.581
Ta 0.481 0.298 0.919
Ta 0.519 0.702 0.081
Ta 0.647 0.806 0.419
Ta 0.702 0.519 0.581
Ta 0.806 0.647 0.919
Au 0.085 0.317 0.752
Au 0.317 0.085 0.252
Au 0.487 0.513 0.750
Au 0.513 0.487 0.250
Au 0.683 0.915 0.748
Au 0.915 0.683 0.248
C 0.000 0.500 0.500
C 0.168 0.664 0.000
C 0.336 0.832 0.500
C 0.500 0.000 0.000
C 0.664 0.168 0.500
C 0.832 0.336 0.000

Results
total DFT energy (no corrections)	-9.052	eV/atom


Entry 7:
Compound: TlAu3C
Source: OQMD via LeMat-Bulk
Functional: PBE-GGA
Structure: relaxed

Unit cell a=4.513 b=4.513 c=4.513 alpha=90.00 beta=90.00 gamma=90.00
Atoms (fractional coordinates):
Tl 0.000 0.000 0.000
Au 0.000 0.500 0.500
Au 0.500 0.000 0.500
Au 0.500 0.500 0.000
C 0.500 0.500 0.500

Results
total DFT energy (no corrections)	-3.655	eV/atom


Entry 8:
Compound: TlW4AuC2
Source: OQMD via LeMat-Bulk
Functional: PBE-GGA
Structure: relaxed

Unit cell a=3.148 b=3.148 c=13.819 alpha=90.00 beta=90.00 gamma=120.00
Atoms (fractional coordinates):
Tl 0.000 0.000 0.000
W 0.000 0.000 0.337
W 0.000 0.000 0.663
W 0.333 0.667 0.177
W 0.333 0.667 0.823
Au 0.333 0.667 0.500
C 0.667 0.333 0.257
C 0.667 0.333 0.743

Results
total DFT energy (no corrections)	-9.167	eV/atom


Among the records above, which one has the lowest total DFT energy (no corrections)? Ta3AuC2